(1)
Tb5SmEr3 | PBE | relaxed

Structure (POSCAR):
```
Tb5SmEr3
1.0
-4.421 -7.955 1.905
3.542 -8.441 1.635
-0.038 -6.693 10.895
Tb Sm Er
10 2 6
Direct
0.921 0.509 0.221 Tb
0.320 0.680 0.000 Tb
0.630 0.630 0.070 Tb
0.442 0.442 0.432 Tb
0.558 0.558 0.568 Tb
0.370 0.370 0.930 Tb
0.509 0.921 0.221 Tb
0.680 0.320 0.000 Tb
0.079 0.491 0.779 Tb
0.491 0.079 0.779 Tb
0.894 0.894 0.870 Sm
0.106 0.106 0.130 Sm
0.698 0.698 0.683 Er
0.834 0.834 0.339 Er
0.000 0.000 0.000 Er
0.000 0.000 0.500 Er
0.302 0.302 0.317 Er
0.166 0.166 0.661 Er
```

offset from the most stable computed form	125	meV/atom
density of states at the Fermi level	26.5	states/eV/cell

=====

(2)
TbSm2Er2 | PBE | relaxed

Structure (POSCAR):
```
TbSm2Er2
1.0
3.461 0.000 0.914
1.472 2.929 1.437
-2.355 2.112 15.925
Tb Sm Er
1 2 2
Direct
0.500 0.500 0.500 Tb
0.236 0.424 0.104 Sm
0.764 0.576 0.896 Sm
0.298 0.707 0.696 Er
0.702 0.293 0.304 Er
```

offset from the most stable computed form	0	meV/atom
density of states at the Fermi level	6.2	states/eV/cell

=====

Taking the records one at a time from the top gives formation energy values of 0.4245 0.0046 eV per atom.